Compound: Ca3Tl2In
Source: the Alexandria database
Functional: PBE
Structure: relaxed Values from VASP.

Computed properties:
Fermi-level density of states = 6.55 states/eV/cell
E_form = -0.4474 eV per atom
Crystal system = trigonal
Total DFT energy (no corrections) = -2.69 eV/atom

Cell and atoms, written as Quantum ESPRESSO input:
```
&SYSTEM
  ibrav = 0, nat = 12, ntyp = 3
/
ATOMIC_SPECIES
Ca 40.08 Ca.upf
Tl 204.38 Tl.upf
In 114.82 In.upf
CELL_PARAMETERS angstrom
5.483 0.000 0.000
-2.742 4.749 0.000
0.000 0.000 13.432
ATOMIC_POSITIONS crystal
Ca 0.000 0.000 0.250
Ca 0.000 0.000 0.750
Ca 0.333 0.667 0.417
Ca 0.333 0.667 0.917
Ca 0.667 0.333 0.083
Ca 0.667 0.333 0.583
Tl 0.000 0.000 0.000
Tl 0.000 0.000 0.500
Tl 0.333 0.667 0.168
Tl 0.667 0.333 0.832
In 0.333 0.667 0.667
In 0.667 0.333 0.333
```

---

Compound: La2NdGe3Pt4
Source: the Alexandria database
Functional: PBE
Structure: relaxed Values from VASP.

Computed properties:
Fermi-level density of states = 7.27 states/eV/cell
E_form = -0.9586 eV per atom
Crystal system = tetragonal
Total DFT energy (no corrections) = -6.22 eV/atom

Cell and atoms, written as Quantum ESPRESSO input:
```
&SYSTEM
  ibrav = 0, nat = 10, ntyp = 4
/
ATOMIC_SPECIES
La 138.91 La.upf
Nd 144.24 Nd.upf
Ge 72.64 Ge.upf
Pt 195.08 Pt.upf
CELL_PARAMETERS angstrom
4.401 0.000 0.000
0.000 4.401 0.000
0.000 0.000 11.255
ATOMIC_POSITIONS crystal
La 0.000 0.500 0.221
La 0.500 0.000 0.779
Nd 0.000 0.000 0.500
Ge 0.000 0.500 0.883
Ge 0.500 0.000 0.117
Ge 0.500 0.500 0.500
Pt 0.000 0.000 0.000
Pt 0.000 0.500 0.664
Pt 0.500 0.000 0.336
Pt 0.500 0.500 0.000
```

---

Compound: K5TlO4
Source: the Alexandria database
Functional: PBE
Structure: relaxed Values from VASP.

Computed properties:
ΔE to the lowest computed polymorph = 7.8 meV/atom
Raw formation energy = -11.223 eV/f.u.
Crystal system = orthorhombic
Total DFT energy (no corrections) = -3.89 eV/atom

Cell and atoms, written as Quantum ESPRESSO input:
```
&SYSTEM
  ibrav = 0, nat = 20, ntyp = 3
/
ATOMIC_SPECIES
K 39.10 K.upf
Tl 204.38 Tl.upf
O 16.00 O.upf
CELL_PARAMETERS angstrom
8.304 0.000 0.000
0.000 8.600 0.000
0.000 0.000 6.334
ATOMIC_POSITIONS crystal
K 0.010 0.057 0.242
K 0.010 0.443 0.242
K 0.250 0.750 0.328
K 0.490 0.057 0.242
K 0.490 0.443 0.242
K 0.510 0.557 0.758
K 0.510 0.943 0.758
K 0.750 0.250 0.672
K 0.990 0.557 0.758
K 0.990 0.943 0.758
Tl 0.250 0.250 0.713
Tl 0.750 0.750 0.287
O 0.021 0.250 0.897
O 0.250 0.027 0.530
O 0.250 0.473 0.530
O 0.479 0.250 0.897
O 0.521 0.750 0.103
O 0.750 0.527 0.470
O 0.750 0.973 0.470
O 0.979 0.750 0.103
```

---

Compound: CdAgH2
Source: the Alexandria database
Functional: PBE
Structure: relaxed Values from VASP.

Computed properties:
Fermi-level density of states = 0.96 states/eV/cell
ΔE to the lowest computed polymorph = 355.8 meV/atom
Crystal system = cubic
Total DFT energy (no corrections) = -1.93 eV/atom

Cell and atoms, written as Quantum ESPRESSO input:
```
&SYSTEM
  ibrav = 0, nat = 4, ntyp = 3
/
ATOMIC_SPECIES
Cd 112.41 Cd.upf
Ag 107.87 Ag.upf
H 1.01 H.upf
CELL_PARAMETERS angstrom
0.000 2.909 2.909
2.909 0.000 2.909
2.909 2.909 0.000
ATOMIC_POSITIONS crystal
Cd 0.000 0.000 0.000
Ag 0.500 0.500 0.500
H 0.250 0.250 0.250
H 0.750 0.750 0.750
```

---

Compound: NaAl2Au
Source: the Alexandria database
Functional: PBE
Structure: relaxed Values from VASP.

Computed properties:
Fermi-level density of states = 3.22 states/eV/cell
E_form = 0.0654 eV per atom
Crystal system = tetragonal
Total DFT energy (no corrections) = -2.95 eV/atom

Cell and atoms, written as Quantum ESPRESSO input:
```
&SYSTEM
  ibrav = 0, nat = 8, ntyp = 3
/
ATOMIC_SPECIES
Na 22.99 Na.upf
Al 26.98 Al.upf
Au 196.97 Au.upf
CELL_PARAMETERS angstrom
-2.454 2.454 8.826
2.454 -2.454 8.826
2.454 2.454 -8.826
ATOMIC_POSITIONS crystal
Na 0.000 0.000 0.000
Na 0.750 0.250 0.500
Al 0.300 0.625 0.175
Al 0.375 0.550 0.675
Al 0.450 0.125 0.825
Al 0.875 0.700 0.325
Au 0.250 0.750 0.500
Au 0.500 0.500 0.000
```

---

Compound: LaNiAs2
Source: the Alexandria database
Functional: PBE
Structure: relaxed Values from VASP.

Computed properties:
Fermi-level density of states = 2.34 states/eV/cell
E_form = -0.7059 eV per atom
Crystal system = trigonal
Total DFT energy (no corrections) = -5.71 eV/atom

Cell and atoms, written as Quantum ESPRESSO input:
```
&SYSTEM
  ibrav = 0, nat = 4, ntyp = 3
/
ATOMIC_SPECIES
La 138.91 La.upf
Ni 58.69 Ni.upf
As 74.92 As.upf
CELL_PARAMETERS angstrom
2.116 1.222 5.215
-2.116 1.222 5.215
0.000 -2.444 5.215
ATOMIC_POSITIONS crystal
La 0.000 0.000 0.000
Ni 0.500 0.500 0.500
As 0.214 0.214 0.214
As 0.786 0.786 0.786
```

---

Question: Which formula does entry 5 have?
Answer: NaAl2Au

---

What did the fourth record say?
Compound: CdAgH2
Source: the Alexandria database
Functional: PBE
Structure: relaxed Values from VASP.

Computed properties:
Fermi-level density of states = 0.96 states/eV/cell
ΔE to the lowest computed polymorph = 355.8 meV/atom
Crystal system = cubic
Total DFT energy (no corrections) = -1.93 eV/atom

Cell and atoms, written as Quantum ESPRESSO input:
```
&SYSTEM
  ibrav = 0, nat = 4, ntyp = 3
/
ATOMIC_SPECIES
Cd 112.41 Cd.upf
Ag 107.87 Ag.upf
H 1.01 H.upf
CELL_PARAMETERS angstrom
0.000 2.909 2.909
2.909 0.000 2.909
2.909 2.909 0.000
ATOMIC_POSITIONS crystal
Cd 0.000 0.000 0.000
Ag 0.500 0.500 0.500
H 0.250 0.250 0.250
H 0.750 0.750 0.750
```

---

Question: total DFT energy (no corrections) of number 2 (La2NdGe3Pt4)?
Answer: -6.22 eV/atom

---

Question: total DFT energy (no corrections) of number 3 (K5TlO4)?
Answer: -3.89 eV/atom